P) # GeBS2

A relaxed structure of GeBS2 (PBE, Alexandria).

CIF file:
```
data_GeBS2
_cell_length_a 3.0739
_cell_length_b 3.0739
_cell_length_c 23.0094
_cell_angle_alpha 90.00
_cell_angle_beta 90.00
_cell_angle_gamma 120.00
_symmetry_space_group_name_H-M 'R -3 m'
_symmetry_Int_Tables_number 166
_symmetry_space_group_name_Hall '-R 3 2"'
loop_
_atom_site_label
_atom_site_type_symbol
_atom_site_fract_x
_atom_site_fract_y
_atom_site_fract_z
_atom_site_occupancy
Ge1 Ge 0.0000 0.0000 0.0000 1
B1 B 0.0000 0.0000 0.5000 1
S1 S 0.0000 0.0000 0.1154 1
```

=====

Q) # GeBS2

A relaxed structure of GeBS2 (PBE, Alexandria).

CIF file:
```
data_GeBS2
_cell_length_a 5.812
_cell_length_b 5.812
_cell_length_c 7.996
_cell_angle_alpha 90.00
_cell_angle_beta 90.00
_cell_angle_gamma 90.00
_symmetry_space_group_name_H-M 'I -4 2 d'
_symmetry_Int_Tables_number 122
_symmetry_space_group_name_Hall 'I -4 2bw'
loop_
_atom_site_label
_atom_site_type_symbol
_atom_site_fract_x
_atom_site_fract_y
_atom_site_fract_z
_atom_site_occupancy
Ge1 Ge 0.000 0.000 0.000 1
B1 B 0.000 0.000 0.500 1
S1 S 0.143 0.250 0.625 1
```

=====

Stability ranking, top and bottom: Q) is the most stable and P) is the least stable.